1.
Compound: KBaZr2
Source: Alexandria via LeMat-Bulk
Functional: PBE
Structure: relaxed

DFT formation energy (meV/atom): 1287
N(E_F) (states/eV/f.u.): 8.0
Energy (eV per atom): -3.74
ΔE to the lowest computed polymorph (meV per atom): 849

Structure (CIF):
```
data_KBaZr2
_chemical_formula_sum 'K4 Ba4 Zr8'
_symmetry_space_group_name_H-M 'F m -3 m'
_symmetry_Int_Tables_number 225
_symmetry_space_group_name_Hall '-F 4 2 3'
_cell_length_a 8.1249
_cell_length_b 8.1249
_cell_length_c 8.1249
_cell_angle_alpha 90.00
_cell_angle_beta 90.00
_cell_angle_gamma 90.00
loop_
_atom_site_label
_atom_site_type_symbol
_atom_site_fract_x
_atom_site_fract_y
_atom_site_fract_z
_atom_site_occupancy
K1 K 0.0000 0.0000 0.0000 1
Ba1 Ba 0.0000 0.0000 0.5000 1
Zr1 Zr 0.2500 0.2500 0.2500 1
```

***

2.
Compound: KBaZr
Source: Alexandria via LeMat-Bulk
Functional: PBE
Structure: relaxed

DFT formation energy (meV/atom): 704
N(E_F) (states/eV/f.u.): 4.1
Energy (eV per atom): -3.15
ΔE to the lowest computed polymorph (meV per atom): 426

Structure (CIF):
```
data_KBaZr
_chemical_formula_sum 'K1 Ba1 Zr1'
_symmetry_space_group_name_H-M 'P 3 m 1'
_symmetry_Int_Tables_number 156
_symmetry_space_group_name_Hall 'P 3 -2"'
_cell_length_a 3.6752
_cell_length_b 3.6752
_cell_length_c 10.1853
_cell_angle_alpha 90.00
_cell_angle_beta 90.00
_cell_angle_gamma 120.00
loop_
_atom_site_label
_atom_site_type_symbol
_atom_site_fract_x
_atom_site_fract_y
_atom_site_fract_z
_atom_site_occupancy
K1 K 0.0000 0.0000 0.0000 1
Ba1 Ba 0.3333 0.6667 0.6033 1
Zr1 Zr 0.6667 0.3333 0.3237 1
```

***

3.
Compound: KBaZr
Source: Alexandria via LeMat-Bulk
Functional: PBE
Structure: relaxed

DFT formation energy (meV/atom): 901
N(E_F) (states/eV/f.u.): 6.2
Energy (eV per atom): -2.96
ΔE to the lowest computed polymorph (meV per atom): 623

Structure (CIF):
```
data_KBaZr
_chemical_formula_sum 'K2 Ba2 Zr2'
_symmetry_space_group_name_H-M 'I m m 2'
_symmetry_Int_Tables_number 44
_symmetry_space_group_name_Hall 'I 2 -2'
_cell_length_a 3.5268
_cell_length_b 5.9708
_cell_length_c 11.8037
_cell_angle_alpha 90.00
_cell_angle_beta 90.00
_cell_angle_gamma 90.00
loop_
_atom_site_label
_atom_site_type_symbol
_atom_site_fract_x
_atom_site_fract_y
_atom_site_fract_z
_atom_site_occupancy
K1 K 0.0000 0.0000 0.0000 1
Ba1 Ba 0.0000 0.0000 0.6786 1
Zr1 Zr 0.0000 0.0000 0.3309 1
```

***

4.
Compound: KBaZr2
Source: Alexandria via LeMat-Bulk
Functional: PBE
Structure: relaxed

DFT formation energy (meV/atom): 949
N(E_F) (states/eV/f.u.): 6.8
Energy (eV per atom): -4.08
ΔE to the lowest computed polymorph (meV per atom): 511

Structure (CIF):
```
data_KBaZr2
_chemical_formula_sum 'K1 Ba1 Zr2'
_symmetry_space_group_name_H-M 'P m m m'
_symmetry_Int_Tables_number 47
_symmetry_space_group_name_Hall '-P 2 2'
_cell_length_a 3.2126
_cell_length_b 6.2366
_cell_length_c 6.5202
_cell_angle_alpha 90.00
_cell_angle_beta 90.00
_cell_angle_gamma 90.00
loop_
_atom_site_label
_atom_site_type_symbol
_atom_site_fract_x
_atom_site_fract_y
_atom_site_fract_z
_atom_site_occupancy
K1 K 0.0000 0.0000 0.0000 1
Ba1 Ba 0.0000 0.0000 0.5000 1
Zr1 Zr 0.5000 0.5000 0.2624 1
```